This record from Alexandria describes an optimized crystal structure of Rb6TaCl12. The functional is GGA-PBE.

abc: 9.405 9.405 9.405
angles: 86.31 86.31 86.31
Last column: magnetic moment on the atom in μB.
Fractional positions:
Cl: 0.739 0.999 0.500  0.17
Cl: 0.159 0.172 0.904  0.02
Cl: 0.999 0.500 0.739  0.17
Cl: 0.904 0.159 0.172  0.02
Cl: 0.261 0.001 0.500  0.17
Cl: 0.828 0.096 0.841  0.02
Cl: 0.500 0.739 0.999  0.17
Cl: 0.500 0.261 0.001  0.17
Cl: 0.001 0.500 0.261  0.17
Cl: 0.172 0.904 0.159  0.02
Cl: 0.841 0.828 0.096  0.02
Cl: 0.096 0.841 0.828  0.02
Rb: 0.992 0.242 0.519  0.00
Rb: 0.519 0.992 0.242  0.00
Rb: 0.481 0.008 0.758  0.00
Rb: 0.758 0.481 0.008  0.00
Rb: 0.008 0.758 0.481  0.00
Rb: 0.242 0.519 0.992  0.00
Ta: 0.000 0.000 0.000  -0.01

Calculated values
Energy relative to the elements, uncorrected   -1.580 eV per atom
N(E_F)   1.888 states/eV per atom
Crystal system   trigonal